Compound: TlFe2Mo
Source: Alexandria
Functional: SCAN
Structure: single point on PBEsol structure

Cell and atoms, written as CIF:
```
data_TlFe2Mo
_cell_length_a 2.9295
_cell_length_b 2.9295
_cell_length_c 24.4121
_cell_angle_alpha 90.00
_cell_angle_beta 90.00
_cell_angle_gamma 120.00
_symmetry_space_group_name_H-M 'R -3 m'
_symmetry_Int_Tables_number 166
_symmetry_space_group_name_Hall '-R 3 2"'
loop_
_atom_site_label
_atom_site_type_symbol
_atom_site_fract_x
_atom_site_fract_y
_atom_site_fract_z
Tl1 Tl 0.0000 0.0000 0.0000
Fe1 Fe 0.0000 0.0000 0.2413
Mo1 Mo 0.0000 0.0000 0.5000
```

Output
As for the calculated volume: 15.1 A^3/atom. The value obtained for the total moment is 13.25 Bohr magnetons per cell. The calculation puts the formation enthalpy at 0 K at 2.55 eV per formula unit. As for the crystal system: trigonal.